Version A
Density functional theory data (PBE) for crystalline RbHfSbTe2 at its relaxed geometry.

- D(E_F) (states/eV per atom) = 1.5149
- density (g/cm³) = 5.3

Cell: 5.909 5.909 5.711 Å, 90.00 90.00 90.00°
Site moments in Bohr magnetons follow the coordinates.
Sites, in units of the cell vectors:
Te  0.000  0.500  0.000  -0.04
Te  0.500  0.000  0.000  -0.04
Sb  0.000  0.000  0.500  -0.01
Rb  0.000  0.000  0.000  0.00
Hf  0.500  0.500  0.500  0.49


Version B
Density functional theory data (PBE) for crystalline RbHfSbTe2 at its relaxed geometry.

- D(E_F) (states/eV per atom) = 0.9601
- density (g/cm³) = 5.9

Cell: 5.684 5.684 5.611 Å, 90.00 90.00 90.00°
Sites, in units of the cell vectors:
Te  0.000  0.500  0.000
Te  0.500  0.000  0.000
Sb  0.000  0.000  0.500
Hf  0.000  0.000  0.000
Rb  0.500  0.500  0.500


Which of them is most stable? Easy: version B.